Record 1
This record from Alexandria describes a geometry-optimized La3Pm2YS6 structure. The functional is PBE.

Structure (POSCAR):
```
La3Pm2YS6
1.0
3.5211 -6.1107 0.0000
3.5211 6.1107 0.0000
-2.3573 0.0000 6.6671
La Pm Y S
3 2 1 6
Direct
0.0000 0.0000 0.0000 La
0.3310 0.6690 0.0000 La
0.6690 0.3310 0.0000 La
0.1667 0.8333 0.5000 Pm
0.8333 0.1667 0.5000 Pm
0.5000 0.5000 0.5000 Y
0.0942 0.4211 0.2628 S
0.2530 0.2530 0.7396 S
0.4211 0.0942 0.2628 S
0.5789 0.9058 0.7372 S
0.7470 0.7470 0.2604 S
0.9058 0.5789 0.7372 S
```

As for the uncorrected formation energy: -48.46 kcal/mol of atoms. Its crystal system is monoclinic. The final energy comes out at -6.73 eV/atom. As for the density: 5.718 g/cm3.

Record 2
This record from Alexandria describes a geometry-optimized CeDyZr2 structure. The functional is PBE.

Structure (POSCAR):
```
CeDyZr2
1.0
2.8652 -1.6571 0.0000
2.8652 1.6571 0.0000
-1.9079 0.0000 10.9484
Ce Dy Zr
1 1 2
Direct
0.0000 0.0000 0.0000 Ce
0.1669 0.1669 0.5010 Dy
0.5813 0.5813 0.7509 Zr
0.7473 0.7473 0.2475 Zr
```

Its crystal system is monoclinic. As for the formation enthalpy at 0 K: 118 meV per atom. The final energy comes out at -6.79 eV/atom. As for the density: 7.747 g/cm3. The value obtained for the distance to the lowest polymorph of the same formula is 0 meV/atom.

Record 3
This record from Alexandria describes a geometry-optimized TiCl3 structure. The functional is PBE.

Structure (POSCAR):
```
TiCl3
1.0
3.0518 -5.2468 0.0000
3.0518 5.2468 0.0000
-0.1031 0.0000 19.7801
Ti Cl
6 18
Direct
0.1579 0.4772 0.3337 Ti
0.1597 0.8403 0.0000 Ti
0.4772 0.1579 0.3337 Ti
0.5228 0.8421 0.6663 Ti
0.8403 0.1597 0.0000 Ti
0.8421 0.5228 0.6663 Ti
0.1493 0.1493 0.9262 Cl
0.1497 0.4999 0.0699 Cl
0.1679 0.8177 0.2638 Cl
0.1685 0.1685 0.4075 Cl
0.1824 0.5327 0.5965 Cl
0.1823 0.8321 0.7362 Cl
0.4670 0.4670 0.2599 Cl
0.4673 0.8176 0.4035 Cl
0.4999 0.1497 0.0699 Cl
0.5001 0.8503 0.9301 Cl
0.5327 0.1824 0.5965 Cl
0.5330 0.5330 0.7401 Cl
0.8177 0.1679 0.2638 Cl
0.8176 0.4673 0.4035 Cl
0.8315 0.8315 0.5925 Cl
0.8321 0.1823 0.7362 Cl
0.8503 0.5001 0.9301 Cl
0.8507 0.8507 0.0738 Cl
```

As for the uncorrected formation energy: -36.56 kcal/mol of atoms. Its crystal system is monoclinic. The final energy comes out at -4.94 eV/atom. As for the density: 2.426 g/cm3.

Record 4
This record from Alexandria describes a geometry-optimized AsCl structure. The functional is PBE.

Structure (POSCAR):
```
AsCl
1.0
-6.1937 6.1937 1.5082
6.1937 -6.1937 1.5082
6.1937 6.1937 -1.5082
As Cl
4 4
Direct
0.0571 0.8356 0.8927 As
0.1644 0.0571 0.2215 As
0.8356 0.9429 0.7785 As
0.9429 0.1644 0.1073 As
0.0876 0.2745 0.3620 Cl
0.2745 0.9124 0.1869 Cl
0.7255 0.0876 0.8131 Cl
0.9124 0.7255 0.6380 Cl
```

As for the uncorrected formation energy: -0.12 kcal/mol of atoms. Its crystal system is tetragonal. The final energy comes out at -3.25 eV/atom. As for the density: 3.168 g/cm3.

Record 5
This record from Alexandria describes a geometry-optimized SrCuO2 structure. The functional is PBE.

Structure (POSCAR):
```
SrCuO2
1.0
1.7145 -5.7134 0.0000
1.7145 5.7134 0.0000
0.0000 0.0000 5.6455
Sr Cu O
2 2 4
Direct
0.1190 0.8810 0.7500 Sr
0.8810 0.1190 0.2500 Sr
0.3786 0.6214 0.7500 Cu
0.6214 0.3786 0.2500 Cu
0.2032 0.7968 0.2500 O
0.5000 0.5000 0.0000 O
0.5000 0.5000 0.5000 O
0.7968 0.2032 0.7500 O
```

As for the uncorrected formation energy: -37.08 kcal/mol of atoms. Its crystal system is orthorhombic. The final energy comes out at -5.53 eV/atom. As for the density: 5.500 g/cm3.

Record 6
This record from Alexandria describes a geometry-optimized Pr2ZnAu structure. The functional is PBE.

Structure (POSCAR):
```
Pr2ZnAu
1.0
3.7685 0.0000 0.0000
0.0000 3.7685 0.0000
0.0000 0.0000 7.2904
Pr Zn Au
2 1 1
Direct
0.0000 0.0000 0.2475 Pr
0.0000 0.0000 0.7525 Pr
0.5000 0.5000 0.0000 Zn
0.5000 0.5000 0.5000 Au
```

Its crystal system is tetragonal. As for the formation enthalpy at 0 K: -526 meV per atom. The final energy comes out at -4.05 eV/atom. As for the density: 8.728 g/cm3.

Record 7
This record from Alexandria describes a geometry-optimized Na4ErTl5 structure. The functional is PBE.

Structure (POSCAR):
```
Na4ErTl5
1.0
3.6130 0.0000 0.0000
0.0000 3.6130 0.0000
0.0000 0.0000 21.6521
Na Er Tl
4 1 5
Direct
0.0000 0.0000 0.1038 Na
0.0000 0.0000 0.3096 Na
0.0000 0.0000 0.6904 Na
0.0000 0.0000 0.8962 Na
0.0000 0.0000 0.5000 Er
0.5000 0.5000 0.0000 Tl
0.5000 0.5000 0.2076 Tl
0.5000 0.5000 0.4071 Tl
0.5000 0.5000 0.5929 Tl
0.5000 0.5000 0.7924 Tl
```

Its crystal system is tetragonal. As for the formation enthalpy at 0 K: -144 meV per atom. The final energy comes out at -2.31 eV/atom. As for the density: 7.527 g/cm3.

Record 8
This record from Alexandria describes a geometry-optimized TlBiAs structure. The functional is PBE.

Structure (POSCAR):
```
TlBiAs
1.0
5.4932 -2.0037 0.0000
5.4932 2.0037 0.0000
-3.8463 0.0000 8.6988
Tl Bi As
2 2 2
Direct
0.0990 0.0990 0.4040 Tl
0.9010 0.9010 0.5960 Tl
0.2756 0.2756 0.8243 Bi
0.7244 0.7244 0.1757 Bi
0.4042 0.4042 0.1629 As
0.5958 0.5958 0.8371 As
```

Its crystal system is monoclinic. As for the formation enthalpy at 0 K: 76 meV per atom. The final energy comes out at -3.56 eV/atom. As for the density: 8.468 g/cm3. The value obtained for the distance to the lowest polymorph of the same formula is 32 meV/atom.

Record 9
This record from Alexandria describes a geometry-optimized Nb2Os structure. The functional is PBE.

Structure (POSCAR):
```
Nb2Os
1.0
9.9739 0.0000 0.0000
0.0000 9.9739 0.0000
0.0000 0.0000 5.1255
Nb Os
20 10
Direct
0.0357 0.3717 0.0000 Nb
0.1040 0.1040 0.0000 Nb
0.1283 0.5357 0.5000 Nb
0.1810 0.8190 0.2499 Nb
0.1810 0.8190 0.7501 Nb
0.3190 0.3190 0.2501 Nb
0.3190 0.3190 0.7499 Nb
0.3717 0.0357 0.0000 Nb
0.3960 0.6040 0.5000 Nb
0.4643 0.8717 0.5000 Nb
0.5357 0.1283 0.5000 Nb
0.6040 0.3960 0.5000 Nb
0.6283 0.9643 0.0000 Nb
0.6810 0.6810 0.2501 Nb
0.6810 0.6810 0.7499 Nb
0.8190 0.1810 0.2499 Nb
0.8190 0.1810 0.7501 Nb
0.8717 0.4643 0.5000 Nb
0.8960 0.8960 0.0000 Nb
0.9643 0.6283 0.0000 Nb
0.0000 0.0000 0.5000 Os
0.0680 0.2570 0.5000 Os
0.2430 0.5680 0.0000 Os
0.2570 0.0680 0.5000 Os
0.4320 0.7570 0.0000 Os
0.5000 0.5000 0.0000 Os
0.5680 0.2430 0.0000 Os
0.7430 0.9320 0.5000 Os
0.7570 0.4320 0.0000 Os
0.9320 0.7430 0.5000 Os
```

Its crystal system is tetragonal. As for the formation enthalpy at 0 K: -261 meV per atom. The final energy comes out at -10.72 eV/atom. As for the density: 12.247 g/cm3.

Record 10
This record from Alexandria describes a geometry-optimized Sr2LiCd7 structure. The functional is PBE.

Structure (POSCAR):
```
Sr2LiCd7
1.0
4.5790 0.0000 0.0000
0.0000 4.5790 0.0000
0.0000 0.0000 12.9933
Sr Li Cd
2 1 7
Direct
0.0000 0.5000 0.2468 Sr
0.5000 0.0000 0.7532 Sr
0.0000 0.0000 0.5000 Li
0.0000 0.0000 0.0000 Cd
0.0000 0.5000 0.6373 Cd
0.0000 0.5000 0.8571 Cd
0.5000 0.0000 0.1429 Cd
0.5000 0.0000 0.3627 Cd
0.5000 0.5000 0.0000 Cd
0.5000 0.5000 0.5000 Cd
```

Its crystal system is tetragonal. As for the formation enthalpy at 0 K: -255 meV per atom. The final energy comes out at -1.42 eV/atom. As for the density: 5.906 g/cm3.

Record 11
This record from Alexandria describes a geometry-optimized BF structure. The functional is PBE.

Structure (POSCAR):
```
BF
1.0
5.5611 0.0000 0.0000
0.0000 5.8066 0.0000
0.0000 0.0000 6.7434
B F
8 8
Direct
0.1219 0.1784 0.4127 B
0.1283 0.6477 0.9378 B
0.3717 0.3523 0.4378 B
0.3781 0.8216 0.9127 B
0.6219 0.3216 0.5873 B
0.6283 0.8523 0.0622 B
0.8717 0.1477 0.5622 B
0.8781 0.6784 0.0873 B
0.1262 0.0332 0.2523 F
0.1289 0.4512 0.8255 F
0.3711 0.5488 0.3255 F
0.3738 0.9668 0.7523 F
0.6262 0.4668 0.7477 F
0.6289 0.0488 0.1745 F
0.8711 0.9512 0.6745 F
0.8738 0.5332 0.2477 F
```

As for the uncorrected formation energy: -30.54 kcal/mol of atoms. Its crystal system is orthorhombic. The final energy comes out at -5.60 eV/atom. As for the density: 1.819 g/cm3. The value obtained for the distance to the lowest polymorph of the same formula is 0 meV/atom.

Record 12
This record from Alexandria describes a geometry-optimized Tm4Cd2Sn structure. The functional is PBE.

Structure (POSCAR):
```
Tm4Cd2Sn
1.0
2.5747 1.4865 8.4516
-2.5747 1.4865 8.4516
0.0000 -2.9730 8.4516
Tm Cd Sn
4 2 1
Direct
0.1193 0.1193 0.1193 Tm
0.3721 0.3721 0.3721 Tm
0.6279 0.6279 0.6279 Tm
0.8807 0.8807 0.8807 Tm
0.2516 0.2516 0.2516 Cd
0.7484 0.7484 0.7484 Cd
0.5000 0.5000 0.5000 Sn
```

Its crystal system is trigonal. As for the formation enthalpy at 0 K: -211 meV per atom. The final energy comes out at -3.60 eV/atom. As for the density: 8.721 g/cm3.